(1)
! Ca2Sc2I | the Alexandria database | PBE-GGA | relaxed; values from VASP
! **Distance to the lowest polymorph of the same formula**: 0.000 eV per atom
! **Raw formation energy**: -0.11 eV per atom
! **Crystal system**: tetragonal
&SYSTEM
  ibrav = 0, nat = 5, ntyp = 3
/
ATOMIC_SPECIES
I 126.90 I.upf
Sc 44.96 Sc.upf
Ca 40.08 Ca.upf
ATOMIC_POSITIONS angstrom
I 0.000 0.000 0.000
Sc 2.015 4.031 5.188
Sc 4.031 2.015 5.188
Ca 4.031 4.031 8.095
Ca 2.015 2.015 2.280
CELL_PARAMETERS angstrom
4.031 0.000 0.000
0.000 4.031 0.000
2.015 2.015 10.376

---

(2)
! AcIn2I6 | the Alexandria database | PBE-GGA | relaxed; values from VASP
! **Raw formation energy**: -0.90 eV per atom
! **Crystal system**: monoclinic
&SYSTEM
  ibrav = 0, nat = 18, ntyp = 3
/
ATOMIC_SPECIES
I 126.90 I.upf
Ac 227.00 Ac.upf
In 114.82 In.upf
ATOMIC_POSITIONS angstrom
I 8.214 -1.502 7.328
I 3.072 7.612 -1.412
I 8.014 4.694 4.840
I 13.157 4.653 4.208
I 4.291 -1.220 5.398
I 5.842 1.690 8.215
I 10.984 7.929 1.097
I 7.061 8.210 -0.834
I 12.204 -0.904 7.907
I 7.261 2.015 1.654
I 9.434 5.019 -1.721
I 2.118 2.055 2.286
Ac 10.209 8.218 -2.114
Ac 5.066 -1.510 8.608
In 9.910 3.299 0.740
In 10.508 5.525 2.896
In 5.365 3.410 5.754
In 4.767 1.184 3.599
CELL_PARAMETERS angstrom
10.285 -0.674 -0.652
2.495 9.354 -2.276
2.495 -1.972 9.423

---

(3)
! BIrPt2Cl | the Alexandria database | PBE-GGA | relaxed; values from VASP
! **Raw formation energy**: 0.86 eV per atom
! **Crystal system**: tetragonal
&SYSTEM
  ibrav = 0, nat = 5, ntyp = 4
/
ATOMIC_SPECIES
Pt 195.08 Pt.upf
B 10.81 B.upf
Cl 35.45 Cl.upf
Ir 192.22 Ir.upf
ATOMIC_POSITIONS angstrom
Pt 2.036 0.000 0.000
Pt 0.000 0.000 2.036
B 0.000 0.000 0.000
Cl 0.000 2.355 0.000
Ir 2.036 2.355 2.036
CELL_PARAMETERS angstrom
4.072 0.000 0.000
0.000 4.710 0.000
0.000 0.000 4.072

---

(4)
! PrSm8Ho2 | the Alexandria database | PBE-GGA | relaxed; values from VASP
! **Distance to the lowest polymorph of the same formula**: 0.057 eV per atom
! **Crystal system**: monoclinic
! **ΔE_f**: 178 kJ/mol of formula units
&SYSTEM
  ibrav = 0, nat = 11, ntyp = 3
/
ATOMIC_SPECIES
Sm 150.36 Sm.upf
Pr 140.91 Pr.upf
Ho 164.93 Ho.upf
ATOMIC_POSITIONS angstrom
Sm 3.523 6.732 5.108
Sm 4.450 11.867 9.004
Sm 6.669 8.620 4.535
Sm 6.283 5.209 3.952
Sm 4.064 10.387 5.875
Sm 7.209 10.343 7.848
Sm 4.064 8.455 8.422
Sm 6.669 6.688 7.081
Pr 0.000 0.000 0.000
Ho 7.345 13.249 10.052
Ho 3.388 3.827 2.904
CELL_PARAMETERS angstrom
6.322 1.803 1.368
2.206 9.678 3.103
2.206 5.594 8.485

---

(5)
! La4TaZn | the Alexandria database | PBE-GGA | relaxed; values from VASP
! **Crystal system**: cubic
! **ΔE_f**: 462 kJ/mol of formula units
&SYSTEM
  ibrav = 0, nat = 6, ntyp = 3
/
ATOMIC_SPECIES
Zn 65.41 Zn.upf
La 138.91 La.upf
Ta 180.95 Ta.upf
ATOMIC_POSITIONS angstrom
Zn 0.000 0.000 0.000
La -0.083 -2.342 5.346
La -1.807 -2.753 7.942
La 1.301 -2.346 8.168
La 0.148 -5.017 6.980
Ta -0.165 -4.672 10.664
CELL_PARAMETERS angstrom
2.791 -0.007 5.690
-3.477 -0.827 5.234
0.466 -5.394 3.294

---

(6)
! Rb2ZnIrSe | the Alexandria database | PBE-GGA | relaxed; values from VASP
! **Raw formation energy**: 0.46 eV per atom
! **Crystal system**: tetragonal
&SYSTEM
  ibrav = 0, nat = 5, ntyp = 4
/
ATOMIC_SPECIES
Rb 85.47 Rb.upf
Se 78.96 Se.upf
Ir 192.22 Ir.upf
Zn 65.41 Zn.upf
ATOMIC_POSITIONS angstrom
Rb -2.762 1.449 -0.649
Rb 0.185 1.587 2.756
Se -3.750 1.287 3.194
Ir -1.173 -1.750 1.086
Zn 0.000 0.000 0.000
CELL_PARAMETERS angstrom
-5.525 2.898 -1.298
-2.346 -3.499 2.173
0.370 3.175 5.512

---

(7)
! Ag2Pt | the Alexandria database | PBE-GGA | relaxed; values from VASP
! **Distance to the lowest polymorph of the same formula**: 0.240 eV per atom
! **Crystal system**: orthorhombic
! **ΔE_f**: 65 kJ/mol of formula units
&SYSTEM
  ibrav = 0, nat = 12, ntyp = 2
/
ATOMIC_SPECIES
Ag 107.87 Ag.upf
Pt 195.08 Pt.upf
ATOMIC_POSITIONS angstrom
Ag 0.739 -0.182 1.120
Ag 0.053 0.240 11.329
Ag -0.882 -0.098 6.385
Ag 0.196 0.520 3.824
Ag -0.907 3.488 18.902
Ag -1.426 0.604 9.089
Ag -0.363 2.786 16.198
Ag -0.491 0.942 14.033
Pt 1.686 -1.868 3.205
Pt -1.423 2.609 11.875
Pt -3.060 2.712 17.213
Pt 1.256 0.697 8.147
CELL_PARAMETERS angstrom
-1.206 -2.461 0.396
3.629 -1.593 1.143
-3.796 4.899 18.879

---

(8)
! DyYEr2N4 | the Alexandria database | PBE-GGA | relaxed; values from VASP
! **Raw formation energy**: -1.74 eV per atom
! **Crystal system**: monoclinic
&SYSTEM
  ibrav = 0, nat = 8, ntyp = 4
/
ATOMIC_SPECIES
N 14.01 N.upf
Er 167.26 Er.upf
Y 88.91 Y.upf
Dy 162.50 Dy.upf
ATOMIC_POSITIONS angstrom
N 0.402 -5.065 1.961
N 2.704 -2.534 2.052
N 0.101 -2.438 -0.219
N -2.145 -2.761 2.344
Er -2.320 -2.555 -0.071
Er 0.280 -2.648 2.198
Y 2.544 -2.301 -0.385
Dy 0.000 0.000 0.000
CELL_PARAMETERS angstrom
-0.056 -2.208 -2.653
5.143 -2.394 1.884
-4.584 -2.901 2.512

---

(9)
! Ba2MnMo | the Alexandria database | PBE-GGA | relaxed; values from VASP
! **Distance to the lowest polymorph of the same formula**: 1.117 eV per atom
! **Crystal system**: cubic
! **ΔE_f**: 636 kJ/mol of formula units
&SYSTEM
  ibrav = 0, nat = 4, ntyp = 3
/
ATOMIC_SPECIES
Ba 137.33 Ba.upf
Mo 95.94 Mo.upf
Mn 54.94 Mn.upf
ATOMIC_POSITIONS angstrom
Ba 1.950 1.950 1.950
Ba 5.850 5.850 5.850
Mo 3.900 3.900 3.900
Mn 0.000 0.000 0.000
CELL_PARAMETERS angstrom
0.000 3.900 3.900
3.900 0.000 3.900
3.900 3.900 0.000

---

(10)
! AsOsO | the Alexandria database | PBE-GGA | relaxed; values from VASP
! **Raw formation energy**: -0.30 eV per atom
! **Crystal system**: monoclinic
&SYSTEM
  ibrav = 0, nat = 12, ntyp = 3
/
ATOMIC_SPECIES
As 74.92 As.upf
Os 190.23 Os.upf
O 16.00 O.upf
ATOMIC_POSITIONS angstrom
As 2.177 1.447 0.984
As 3.516 2.386 4.271
As 0.670 0.614 3.704
As 5.024 3.219 1.551
Os 2.813 3.752 1.050
Os 0.034 2.920 3.770
Os 2.880 0.080 4.205
Os 5.660 0.913 1.485
O 0.522 4.419 0.576
O 3.368 0.246 1.959
O 2.325 3.586 3.296
O 5.172 -0.586 4.679
CELL_PARAMETERS angstrom
5.693 0.000 0.000
0.000 5.498 -0.186
0.000 -1.665 5.441

---

(11)
! Tb6Mg5Sb | the Alexandria database | PBE-GGA | relaxed; values from VASP
! **Raw formation energy**: -0.24 eV per atom
! **Crystal system**: orthorhombic
&SYSTEM
  ibrav = 0, nat = 12, ntyp = 3
/
ATOMIC_SPECIES
Mg 24.30 Mg.upf
Tb 158.93 Tb.upf
Sb 121.76 Sb.upf
ATOMIC_POSITIONS angstrom
Mg 3.452 -0.030 6.699
Mg 1.659 -0.015 3.550
Mg 1.731 3.703 3.402
Mg 3.420 3.687 6.861
Mg 0.020 3.718 0.007
Tb 2.588 5.586 0.863
Tb 4.279 1.853 4.252
Tb 0.872 5.537 6.010
Tb 4.298 5.522 4.259
Tb 0.853 1.868 6.004
Tb 2.568 1.819 0.856
Sb 0.000 0.000 0.000
CELL_PARAMETERS angstrom
5.116 -0.030 1.705
0.040 7.436 0.013
-0.005 -0.015 8.544

---

(12)
! Y5ZnIr2 | the Alexandria database | PBE-GGA | relaxed; values from VASP
! **Crystal system**: tetragonal
! **ΔE_f**: -465 kJ/mol of formula units
&SYSTEM
  ibrav = 0, nat = 16, ntyp = 3
/
ATOMIC_SPECIES
Ir 192.22 Ir.upf
Y 88.91 Y.upf
Zn 65.41 Zn.upf
ATOMIC_POSITIONS angstrom
Ir 0.410 2.463 -1.652
Ir 1.184 5.875 -4.037
Ir 4.256 0.949 -2.571
Ir 5.029 4.360 -4.956
Y -0.800 3.386 4.441
Y 4.441 1.181 3.272
Y 0.788 5.379 -1.258
Y 6.030 3.175 -2.428
Y 4.012 6.586 -3.495
Y 2.423 4.593 2.205
Y 2.807 1.967 -0.191
Y 1.218 -0.026 5.509
Y 0.000 0.000 0.000
Y 2.720 3.412 -3.304
Zn 3.975 4.986 -0.645
Zn 1.255 1.574 2.659
CELL_PARAMETERS angstrom
6.999 0.000 -3.304
-1.560 6.823 -3.304
-0.210 -0.263 8.622